Record 1
Here is an optimized crystal structure of Th3Tl3AgSe8 from Alexandria. Energies are from PBE-GGA.

Cell: 8.5458 8.5425 9.2015 Å, 117.63 90.00 120.01°
Element x y z (fractional)
1 Th 0.0000 0.5000 0.5000
2 Th 0.5000 0.5000 0.5000
3 Th 0.5000 0.0000 0.5000
4 Se 0.2412 0.9638 0.7048
5 Se 0.7588 0.0362 0.2952
6 Se 0.7595 0.5190 0.2957
7 Se 0.2405 0.4810 0.7043
8 Se 0.7226 0.9638 0.7048
9 Se 0.2774 0.0362 0.2952
10 Se 0.7382 0.4763 0.7144
11 Se 0.2618 0.5237 0.2856
12 Ag 0.0000 0.0000 0.5000
13 Tl 0.5000 0.5000 0.0000
14 Tl 0.0000 0.5000 0.0000
15 Tl 0.0000 0.0000 0.0000

- SG: R-3m, No. 166
- E_tot: -5.1364 eV/atom
- Density: 6.9 Mg/m³
- Volume: 491.20 Å³ per cell



Record 2
Here is an optimized crystal structure of ThTlAgSe3 from Alexandria. Energies are from PBE-GGA.

Cell: 4.3237 7.5989 11.0977 Å, 90.00 90.00 106.53°
Element x y z (fractional)
1 Ag 0.5397 0.0795 0.2500
2 Ag 0.4603 0.9205 0.7500
3 Tl 0.7476 0.4952 0.7500
4 Tl 0.2524 0.5048 0.2500
5 Se 0.6324 0.2648 0.0462
6 Se 0.3676 0.7352 0.9538
7 Se 0.9278 0.8556 0.2500
8 Se 0.6324 0.2648 0.4538
9 Se 0.0722 0.1444 0.7500
10 Se 0.3676 0.7352 0.5462
11 Th 0.0000 0.0000 0.5000
12 Th 0.0000 0.0000 0.0000

- SG: Cmcm, No. 63
- E_tot: -4.9026 eV/atom
- Density: 7.4 Mg/m³
- Volume: 349.56 Å³ per cell



Record 3
Here is an optimized crystal structure of Ti3AgSe from Alexandria. Energies are from PBE-GGA.

Cell: 4.9005 4.9005 4.9005 Å, 90.00 90.00 90.00°
Each line ends with the local moment (μB).
Element x y z (fractional)
1 Ti 0.0000 0.0000 0.5000  0.71
2 Ti 0.0000 0.5000 0.0000  0.73
3 Ti 0.5000 0.0000 0.0000  0.98
4 Se 0.5000 0.5000 0.5000  -0.05
5 Ag 0.0000 0.0000 0.0000  0.01

- SG: Pm-3m, No. 221
- Density: 4.7 Mg/m³
- ΔE to the lowest computed polymorph: 740.7 meV/atom
- Volume: 117.69 Å³ per cell



Record 4
Here is an optimized crystal structure of Ti4AgSe8 from Alexandria. Energies are from PBE-GGA.

Cell: 7.5420 7.5420 7.5420 Å, 60.00 60.00 60.00°
Each line ends with the local moment (μB).
Element x y z (fractional)
1 Se 0.6147 0.1284 0.1284  -0.01
2 Se 0.1284 0.6147 0.1284  -0.01
3 Se 0.6130 0.6130 0.6130  -0.01
4 Se 0.1609 0.6130 0.6130  -0.01
5 Se 0.1284 0.1284 0.6147  -0.01
6 Se 0.6130 0.1609 0.6130  -0.01
7 Se 0.6130 0.6130 0.1609  -0.01
8 Se 0.1284 0.1284 0.1284  -0.01
9 Ti 0.3690 0.8931 0.3690  0.12
10 Ti 0.3690 0.3690 0.3690  0.12
11 Ti 0.3690 0.3690 0.8931  0.12
12 Ti 0.8931 0.3690 0.3690  0.12
13 Ag 0.7500 0.7500 0.7500  0.00

- SG: F-43m, No. 216
- Density: 5.1 Mg/m³
- ΔE to the lowest computed polymorph: 26.1 meV/atom
- Volume: 303.35 Å³ per cell



Record 5
Here is an optimized crystal structure of Ti2AgSe from Alexandria. Energies are from PBE-GGA.

Cell: 7.1234 7.1234 5.8043 Å, 52.15 52.15 90.00°
Element x y z (fractional)
1 Ag 0.0000 0.0000 0.0000
2 Ag 0.7500 0.2500 0.5000
3 Ti 0.3750 0.4007 0.7500
4 Ti 0.1507 0.6250 0.2500
5 Ti 0.5993 0.1250 0.2500
6 Ti 0.8750 0.8493 0.7500
7 Se 0.5000 0.5000 0.0000
8 Se 0.2500 0.7500 0.5000

- SG: I-42d, No. 122
- E_tot: -5.6558 eV/atom
- Density: 6.4 Mg/m³
- Volume: 146.35 Å³ per cell



Record 6
Here is an optimized crystal structure of TiAgSe3 from Alexandria. Energies are from PBE-GGA.

Cell: 5.0517 5.0517 5.0517 Å, 88.04 88.04 88.04°
Element x y z (fractional)
1 Ti 0.1673 0.1673 0.1673
2 Ag 0.8446 0.8446 0.8446
3 Se 0.2134 0.6863 0.2134
4 Se 0.2134 0.2134 0.6863
5 Se 0.6863 0.2134 0.2134

- SG: R3m, No. 160
- Density: 5.1 Mg/m³
- ΔE to the lowest computed polymorph: 0.0 meV/atom
- Volume: 128.70 Å³ per cell



Record 7
Here is an optimized crystal structure of TiAgSe3 from Alexandria. Energies are from PBE-GGA.

Cell: 4.9637 4.9637 4.9637 Å, 90.00 90.00 90.00°
Element x y z (fractional)
1 Se 0.0000 0.5000 0.0000
2 Se 0.5000 0.0000 0.0000
3 Se 0.0000 0.0000 0.5000
4 Ti 0.0000 0.0000 0.0000
5 Ag 0.5000 0.5000 0.5000

- SG: Pm-3m, No. 221
- Density: 5.3 Mg/m³
- ΔE to the lowest computed polymorph: 100.9 meV/atom
- Volume: 122.30 Å³ per cell



Record 8
Here is an optimized crystal structure of Ti2Ag2Se from Alexandria. Energies are from PBE-GGA.

Cell: 6.5079 6.5079 4.4555 Å, 90.00 90.00 90.00°
Element x y z (fractional)
1 Ag 0.3521 0.1479 0.5000
2 Ag 0.6479 0.8521 0.5000
3 Ag 0.8521 0.3521 0.5000
4 Ag 0.1479 0.6479 0.5000
5 Se 0.5000 0.5000 0.0000
6 Se 0.0000 0.0000 0.0000
7 Ti 0.8485 0.6515 0.0000
8 Ti 0.6515 0.1515 0.0000
9 Ti 0.3485 0.8485 0.0000
10 Ti 0.1515 0.3485 0.0000

- SG: P4/mbm, No. 127
- E_tot: -5.1589 eV/atom
- Density: 6.9 Mg/m³
- Volume: 188.70 Å³ per cell